[1]
Crystalline CaErPt2 at its relaxed geometry. Source: the Alexandria database, functional GGA-PBE.

Summary:
Energy above the most stable polymorph in this dataset, meV/atom: 0
ΔE_f, eV per formula unit: -4.53

abc: 3.461 3.461 7.036
angles: 90.00 90.00 90.00
Fractional positions:
Pt1 0.000 0.000 0.771
Er1 0.500 0.500 0.000
Ca1 0.500 0.500 0.500
Pt2 0.000 0.000 0.229


[2]
Crystalline CaEr3Pt2 at its relaxed geometry. Source: the Alexandria database, functional GGA-PBE.

Summary:
ΔE_f, eV per formula unit: -5.60

abc: 4.710 7.240 8.754
angles: 90.00 90.00 90.00
Fractional positions:
Er1 0.000 0.354 0.323
Pt1 0.000 0.745 0.339
Ca1 0.500 0.515 0.580
Pt2 0.000 0.245 0.661
Er2 0.500 0.645 0.170
Er3 0.500 0.145 0.830
Ca2 0.500 0.015 0.420
Er4 0.000 0.486 0.921
Pt3 0.500 0.254 0.143
Er5 0.000 0.986 0.079
Pt4 0.500 0.754 0.857
Er6 0.000 0.854 0.677


[3]
Crystalline CaErPt2 at its relaxed geometry. Source: the Alexandria database, functional GGA-PBE.

Summary:
Energy above the most stable polymorph in this dataset, meV/atom: 50
ΔE_f, eV per formula unit: -4.33

abc: 4.899 4.899 4.899
angles: 60.00 60.00 60.00
Fractional positions:
Ca1 0.500 0.500 0.500
Er1 0.000 0.000 0.000
Pt1 0.250 0.250 0.250
Pt2 0.750 0.750 0.750


[4]
Crystalline Ca2Er2Pt15 at its relaxed geometry. Source: the Alexandria database, functional GGA-PBE.

Summary:
ΔE_f, eV per formula unit: -12.31

abc: 7.094 7.094 7.094
angles: 82.45 82.45 82.45
Fractional positions:
Pt1 0.347 0.842 0.347
Ca1 0.362 0.362 0.362
Pt2 0.653 0.158 0.653
Pt3 0.692 0.000 0.308
Pt4 0.308 0.000 0.692
Pt5 0.000 0.500 0.000
Er1 0.892 0.892 0.892
Pt6 0.000 0.000 0.500
Pt7 0.000 0.308 0.692
Pt8 0.500 0.000 0.000
Pt9 0.000 0.692 0.308
Pt10 0.347 0.347 0.842
Pt11 0.653 0.653 0.158
Er2 0.108 0.108 0.108
Pt12 0.692 0.308 0.000
Ca2 0.638 0.638 0.638
Pt13 0.842 0.347 0.347
Pt14 0.308 0.692 0.000
Pt15 0.158 0.653 0.653


[5]
Crystalline CaEr4Pt4 at its relaxed geometry. Source: the Alexandria database, functional GGA-PBE.

Summary:
ΔE_f, eV per formula unit: -9.51

abc: 5.626 9.128 9.128
angles: 90.00 90.00 90.00
Fractional positions:
Pt1 0.083 0.132 0.296
Er1 0.085 0.837 0.398
Pt2 0.417 0.368 0.204
Er2 0.085 0.163 0.602
Pt3 0.917 0.704 0.132
Ca1 0.000 0.000 0.000
Er3 0.415 0.337 0.898
Pt4 0.583 0.204 0.632
Er4 0.915 0.398 0.163
Er5 0.585 0.102 0.337
Ca2 0.500 0.500 0.500
Er6 0.585 0.898 0.663
Er7 0.415 0.663 0.102
Er8 0.915 0.602 0.837
Pt5 0.083 0.868 0.704
Pt6 0.417 0.632 0.796
Pt7 0.917 0.296 0.868
Pt8 0.583 0.796 0.368


[6]
Crystalline CaErPtRh at its relaxed geometry. Source: the Alexandria database, functional GGA-PBE.

Summary:
Energy above the most stable polymorph in this dataset, meV/atom: 0
ΔE_f, eV per formula unit: -3.60

abc: 3.407 3.407 7.114
angles: 90.00 90.00 90.00
Fractional positions:
Pt1 0.500 0.500 0.127
Rh1 0.500 0.500 0.585
Ca1 0.000 0.000 0.856
Er1 0.000 0.000 0.359


[7]
Crystalline CaErPtRh at its relaxed geometry. Source: the Alexandria database, functional GGA-PBE.

Summary:
Energy above the most stable polymorph in this dataset, meV/atom: 42
ΔE_f, eV per formula unit: -3.43

abc: 4.854 4.854 4.854
angles: 60.00 60.00 60.00
Fractional positions:
Rh1 0.250 0.250 0.250
Ca1 0.500 0.500 0.500
Pt1 0.750 0.750 0.750
Er1 0.000 0.000 0.000


[8]
Crystalline Ca2ErSb3Pt4 at its relaxed geometry. Source: the Alexandria database, functional GGA-PBE.

Summary:
E_form (uncorrected), eV/atom: -0.868

abc: 4.517 4.517 11.418
angles: 90.00 90.00 90.00
Fractional positions:
Pt1 0.000 0.500 0.357
Ca1 0.000 0.500 0.780
Er1 0.500 0.500 0.500
Sb1 0.000 0.000 0.500
Pt2 0.000 0.000 0.000
Sb2 0.500 0.000 0.871
Pt3 0.500 0.500 0.000
Pt4 0.500 0.000 0.643
Ca2 0.500 0.000 0.220
Sb3 0.000 0.500 0.129


Number 1: total magnetization 0.000 μB per formula unit, E_tot -5.794 eV/atom, DOS(E_F) 0.7 states/eV/f.u.. Number 2: total magnetization 0.000 μB per formula unit, E_tot -5.561 eV/atom, DOS(E_F) 6.0 states/eV/f.u.. Number 3: total magnetization 0.000 μB per formula unit, E_tot -5.744 eV/atom, DOS(E_F) 1.9 states/eV/f.u.. Number 4: total magnetization 0.000 μB per formula unit, E_tot -6.108 eV/atom, DOS(E_F) 17.7 states/eV/f.u.. Number 5: total magnetization 0.000 μB per formula unit, E_tot -5.992 eV/atom, DOS(E_F) 5.7 states/eV/f.u.. Number 6: total magnetization 0.000 μB per formula unit, E_tot -5.888 eV/atom, DOS(E_F) 2.4 states/eV/f.u.. Number 7: total magnetization 0.000 μB per formula unit, E_tot -5.846 eV/atom, DOS(E_F) 2.4 states/eV/f.u.. Number 8: total magnetization 0.001 μB per formula unit, E_tot -5.378 eV/atom, DOS(E_F) 5.1 states/eV/f.u..